No. 1
Below is a crystal of Li4Ti11O24 relaxed with PBEsol, with properties calculated at the SCAN level.

The structure in POSCAR format:
```
Li4Ti11O24
1.0
4.9932 0.0000 0.0000
0.0081 8.8097 0.0000
0.0012 0.0133 9.5121
Li Ti O
4 11 24
direct
0.0000 0.0000 0.0000
0.0045 0.3302 0.9954
0.3661 0.9895 0.5023
0.4631 0.1644 0.8939
0.3833 0.6606 0.1764
0.4190 0.3278 0.1771
0.4232 0.9989 0.1723
0.4590 0.8347 0.8993
0.4839 0.4921 0.8983
0.8898 0.4962 0.4056
0.8940 0.8276 0.4013
0.9186 0.1676 0.4003
0.9385 0.0000 0.6904
0.9860 0.3253 0.6817
0.9861 0.6633 0.6782
0.0946 0.6642 0.3114
0.1076 0.3331 0.3166
0.1277 0.9948 0.3283
0.1295 0.4997 0.5747
0.1288 0.8328 0.5761
0.1423 0.1569 0.5771
0.2182 0.9799 0.8241
0.2228 0.1635 0.0894
0.2244 0.8376 0.0799
0.2267 0.4907 0.0801
0.2370 0.3452 0.8232
0.2563 0.6621 0.8152
0.5949 0.5009 0.2711
0.5999 0.8286 0.2705
0.6090 0.6642 0.0074
0.6213 0.1622 0.2669
0.6344 0.9870 0.0098
0.6373 0.3407 0.0145
0.7337 0.9985 0.5050
0.7390 0.6653 0.5050
0.7431 0.8281 0.7635
0.7460 0.3269 0.5041
0.7625 0.4971 0.7663
0.7774 0.1687 0.7666
```

Values from the calculation:
* magnetic moment: 0.0000 μB/atom
* crystal system: triclinic
* uncorrected formation energy: -3.15 eV/atom
* total DFT energy (no corrections): -0.8638 Ry per atom

No. 2
Below is a crystal of LiTi3O6 relaxed with PBEsol, with properties calculated at the SCAN level.

The structure in POSCAR format:
```
LiTi3O6
1.0
7.0152 -1.4639 0.0000
7.0152 1.4639 0.0000
-0.1987 0.0000 4.9572
Li Ti O
1 3 6
direct
0.0000 0.0000 0.0000
0.2184 0.2184 0.0635
0.5629 0.5629 0.5363
0.8681 0.8681 0.5818
0.1157 0.1157 0.7609
0.3098 0.3098 0.3755
0.4463 0.4463 0.7740
0.6447 0.6447 0.2376
0.7830 0.7830 0.8799
0.9857 0.9857 0.3662
```

Values from the calculation:
* magnetic moment: 0.1029 μB/atom
* crystal system: monoclinic
* uncorrected formation energy: -3.16 eV/atom
* total DFT energy (no corrections): -0.8783 Ry per atom

No. 3
Below is a crystal of Li3Ti4O8 relaxed with PBEsol, with properties calculated at the SCAN level.

The structure in POSCAR format:
```
Li3Ti4O8
1.0
5.0733 0.0000 0.0000
0.0000 2.8711 0.0000
-0.1676 0.0000 9.6715
Li Ti O
3 4 8
direct
0.0000 0.0000 0.0000
0.1571 0.5000 0.8012
0.5154 0.5000 0.3316
0.0201 0.0000 0.2717
0.1413 0.5000 0.5328
0.5117 0.5000 0.0343
0.6522 0.0000 0.7576
0.2032 0.5000 0.1571
0.3124 0.0000 0.4120
0.3474 0.0000 0.9104
0.4466 0.5000 0.6660
0.7074 0.0000 0.1412
0.8080 0.5000 0.8916
0.8654 0.5000 0.3867
0.9729 0.0000 0.6536
```

Values from the calculation:
* magnetic moment: 0.1992 μB/atom
* crystal system: monoclinic
* uncorrected formation energy: -2.94 eV/atom
* total DFT energy (no corrections): -0.8100 Ry per atom

No. 4
Below is a crystal of Li3Ti4O8 relaxed with PBEsol, with properties calculated at the SCAN level.

The structure in POSCAR format:
```
Li3Ti4O8
1.0
5.0288 -2.8628 0.0000
5.0288 2.8628 0.0000
-3.2322 0.0000 4.7035
Li Ti O
3 4 8
direct
0.0000 0.0000 0.0000
0.0000 0.5000 0.5000
0.5000 0.0000 0.5000
0.0000 0.0000 0.5000
0.0000 0.5000 0.0000
0.5000 0.0000 0.0000
0.5000 0.5000 0.0000
0.2428 0.7509 0.2431
0.2436 0.2436 0.2190
0.2491 0.7572 0.7569
0.2498 0.2498 0.7425
0.7502 0.7502 0.2575
0.7509 0.2428 0.2431
0.7564 0.7564 0.7810
0.7572 0.2491 0.7569
```

Values from the calculation:
* magnetic moment: 0.0000 μB/atom
* crystal system: monoclinic
* uncorrected formation energy: -2.94 eV/atom
* total DFT energy (no corrections): -0.8093 Ry per atom

No. 5
Below is a crystal of Li3Ti8O16 relaxed with PBEsol, with properties calculated at the SCAN level.

The structure in POSCAR format:
```
Li3Ti8O16
1.0
5.9099 0.0000 0.0000
0.0000 5.9099 0.0000
0.0000 0.0000 8.3569
Li Ti O
3 8 16
direct
0.0000 0.0000 0.0000
0.0000 0.5000 0.2527
0.5000 0.0000 0.7473
0.0000 0.2535 0.6237
0.0000 0.7465 0.6237
0.2511 0.5000 0.8720
0.2535 0.0000 0.3763
0.5000 0.2511 0.1280
0.5000 0.7489 0.1280
0.7465 0.0000 0.3763
0.7489 0.5000 0.8720
0.0000 0.2246 0.3873
0.0000 0.2737 0.8637
0.0000 0.7263 0.8637
0.0000 0.7754 0.3873
0.2200 0.5000 0.6410
0.2246 0.0000 0.6127
0.2737 0.0000 0.1363
0.2745 0.5000 0.1121
0.5000 0.2200 0.3590
0.5000 0.2745 0.8879
0.5000 0.7255 0.8879
0.5000 0.7800 0.3590
0.7263 0.0000 0.1363
0.7255 0.5000 0.1121
0.7754 0.0000 0.6127
0.7800 0.5000 0.6410
```

Values from the calculation:
* magnetic moment: 0.0000 μB/atom
* crystal system: tetragonal
* uncorrected formation energy: -3.13 eV/atom
* total DFT energy (no corrections): -0.8701 Ry per atom

No. 6
Below is a crystal of LiTi2O4 relaxed with PBEsol, with properties calculated at the SCAN level.

The structure in POSCAR format:
```
LiTi2O4
1.0
-1.9017 2.0099 4.4965
1.9017 -2.0099 4.4965
1.9017 2.0099 -4.4965
Li Ti O
1 2 4
direct
0.0000 0.0000 0.0000
0.2874 0.7874 0.5000
0.5662 0.5662 0.0000
0.0683 0.5683 0.5000
0.3293 0.3293 0.0000
0.5224 0.0224 0.5000
0.7826 0.7826 0.0000
```

Values from the calculation:
* magnetic moment: 0.0000 μB/atom
* crystal system: orthorhombic
* uncorrected formation energy: -3.08 eV/atom
* total DFT energy (no corrections): -0.8496 Ry per atom

- Look up the uncorrected formation energy of the first one.
  -3.15 eV/atom

- Look up the uncorrected formation energy of the sixth one.
  -3.08 eV/atom

- Among the records above, which one has the highest total DFT energy (no corrections)?
  number 4